# 1
The following is a PBE calculation of a relaxed Er3GaCoS7 crystal, from OQMD via LeMat-Bulk.

extended XYZ file:
```
24
Lattice="9.449 0.000 0.000 -4.724 8.183 0.000 0.000 0.000 6.120" Properties=species:S:1:pos:R:3 pbc="T T T"
Er -0.297 3.058 0.000
Er -1.928 6.911 0.000
Er 2.500 1.786 3.060
Er 2.224 6.397 0.000
Er 6.652 1.272 3.060
Er 5.021 5.125 3.060
Ga 0.000 5.455 2.621
Ga 4.724 2.728 5.682
Co 0.000 0.000 2.077
Co 0.000 0.000 5.137
S -1.877 4.627 1.641
S -0.144 1.844 3.637
S -3.056 7.385 3.637
S 1.525 1.046 0.577
S 0.000 5.455 4.872
S 1.656 4.244 1.641
S 0.221 7.495 1.641
S 4.503 0.688 4.701
S 3.068 3.939 4.701
S 4.724 2.728 1.812
S 3.200 7.136 3.637
S 7.780 0.797 0.577
S 4.868 6.339 0.577
S 6.601 3.556 4.701
```

Properties
The energy comes out at -0.2147 Ha/atom. Its symmetry is P6_3, No. 173.

# 2
The following is a PBE calculation of a relaxed Er2TmGa4Co crystal, from OQMD via LeMat-Bulk.

extended XYZ file:
```
8
Lattice="6.533 0.000 0.000 0.000 2.187 5.615 0.000 -2.187 5.615" Properties=species:S:1:pos:R:3 pbc="T T T"
Er 0.000 0.000 0.000
Er 3.266 0.000 1.545
Tm 0.000 0.000 3.167
Ga 1.398 0.000 7.675
Ga 2.068 0.000 5.062
Ga 4.465 0.000 5.062
Ga 5.135 0.000 7.675
Co 3.266 0.000 9.684
```

Properties
The energy comes out at -0.1646 Ha/atom. Its symmetry is Amm2, No. 38.

# 3
The following is a PBE calculation of a relaxed ErTmGaCo2 crystal, from OQMD via LeMat-Bulk.

extended XYZ file:
```
5
Lattice="3.827 0.000 0.000 0.000 1.865 6.482 0.000 -1.865 6.482" Properties=species:S:1:pos:R:3 pbc="T T T"
Er 0.000 0.000 0.000
Tm 0.000 0.000 9.493
Ga 1.914 0.000 4.743
Co 1.914 0.000 2.175
Co 1.914 0.000 7.332
```

Properties
The energy comes out at -0.2076 Ha/atom. Its symmetry is Amm2, No. 38.

# 4
The following is a PBE calculation of a relaxed YErGaCo2 crystal, from OQMD via LeMat-Bulk.

extended XYZ file:
```
5
Lattice="3.878 0.000 0.000 0.000 1.870 6.532 0.000 -1.870 6.532" Properties=species:S:1:pos:R:3 pbc="T T T"
Y 0.000 0.000 0.000
Er 0.000 0.000 9.589
Ga 1.939 0.000 4.795
Co 1.939 0.000 2.218
Co 1.939 0.000 7.444
```

Properties
The energy comes out at -0.2215 Ha/atom. Its symmetry is Amm2, No. 38.

- energy of number 1 (Er3GaCoS7)?
  -0.2147 Ha/atom